Version one
Entry from Alexandria via LeMat-Bulk: a relaxed structure of TaPAuCl2 (PBE).

Calculated values
Its calculated density is 7.07 g/cm³. As for the spin magnetization: 0.0 μB/f.u.

a b c (Å): 4.7123 4.7123 5.0722
angles (deg): 90.00 90.00 90.00
With the nearest neighbours (Å) after each atom.
Fractional coordinates of all 5 atoms:
Ta 0.0000 0.0000 0.0000  4 Cl 2.36, 2 P 2.54
P 0.0000 0.0000 0.5000  2 Ta 2.54
Au 0.5000 0.5000 0.5000  4 P 3.33, 8 Cl 3.46
Cl 0.0000 0.5000 0.0000  2 Ta 2.36
Cl 0.5000 0.0000 0.0000  2 Ta 2.36

Version two
Entry from Alexandria via LeMat-Bulk: a relaxed structure of TaPAuCl2 (PBE).

Calculated values
Its calculated density is 6.84 g/cm³. As for the spin magnetization: 2.3 μB/f.u.

a b c (Å): 4.7515 4.7515 5.1605
angles (deg): 90.00 90.00 90.00
With the nearest neighbours (Å) after each atom.
Fractional coordinates of all 5 atoms:
Ta 0.0000 0.0000 0.0000  4 P 3.36, 8 Cl 3.51
P 0.5000 0.5000 0.0000  2 Au 2.58
Au 0.5000 0.5000 0.5000  4 Cl 2.38, 2 P 2.58
Cl 0.0000 0.5000 0.5000  2 Au 2.38
Cl 0.5000 0.0000 0.5000  2 Au 2.38

The least stable of them is version two.

Version one
Entry from Alexandria via LeMat-Bulk: a relaxed structure of TePAuCl2 (PBE).

Calculated values
Its calculated density is 4.89 g/cm³. As for the spin magnetization: 0.9 μB/f.u.

a b c (Å): 5.1230 5.1230 5.5201
angles (deg): 90.00 90.00 90.00
With the nearest neighbours (Å) after each atom.
Fractional coordinates of all 5 atoms:
Te 0.0000 0.0000 0.0000  4 Cl 2.56, 2 P 2.76
P 0.0000 0.0000 0.5000  2 Te 2.76
Au 0.5000 0.5000 0.5000  4 P 3.62, 8 Cl 3.77
Cl 0.0000 0.5000 0.0000  2 Te 2.56
Cl 0.5000 0.0000 0.0000  2 Te 2.56

Version two
Entry from Alexandria via LeMat-Bulk: a relaxed structure of TePAuCl2 (PBE).

Calculated values
Its calculated density is 5.73 g/cm³. As for the spin magnetization: 0.8 μB/f.u.

a b c (Å): 4.8492 4.8492 5.2570
angles (deg): 90.00 90.00 90.00
With the nearest neighbours (Å) after each atom.
Fractional coordinates of all 5 atoms:
Te 0.0000 0.0000 0.0000  4 P 3.43, 8 Cl 3.58
P 0.5000 0.5000 0.0000  2 Au 2.63
Au 0.5000 0.5000 0.5000  4 Cl 2.42, 2 P 2.63
Cl 0.0000 0.5000 0.5000  2 Au 2.42
Cl 0.5000 0.0000 0.5000  2 Au 2.42

The least stable of them is version one.

Version one
Entry from Alexandria via LeMat-Bulk: a relaxed structure of TlP2AuCl (PBE).

Calculated values
Its calculated density is 5.78 g/cm³. As for the spin magnetization: 2.0 μB/f.u.

a b c (Å): 5.2181 5.2181 5.2601
angles (deg): 90.00 90.00 90.00
With the nearest neighbours (Å) after each atom.
Fractional coordinates of all 5 atoms:
Tl 0.0000 0.0000 0.0000  4 P 2.61, 2 Cl 2.63
P 0.0000 0.5000 0.0000  2 Tl 2.61
P 0.5000 0.0000 0.0000  2 Tl 2.61
Au 0.5000 0.5000 0.5000  4 Cl 3.69, 8 P 3.70
Cl 0.0000 0.0000 0.5000  2 Tl 2.63

Version two
Entry from Alexandria via LeMat-Bulk: a relaxed structure of TlP2AuCl (PBE).

Calculated values
Its calculated density is 5.51 g/cm³. As for the spin magnetization: 1.3 μB/f.u.

a b c (Å): 4.6965 4.6965 6.8093
angles (deg): 90.00 90.00 90.00
With the nearest neighbours (Å) after each atom.
Fractional coordinates of all 5 atoms:
Tl 0.0000 0.0000 0.0000  4 Cl 3.32
P 0.0000 0.5000 0.5000  2 Au 2.35
P 0.5000 0.0000 0.5000  2 Au 2.35
Au 0.5000 0.5000 0.5000  4 P 2.35
Cl 0.5000 0.5000 0.0000  4 Tl 3.32, 2 Au 3.40

The least stable of them is version one.

Version one
Entry from Alexandria via LeMat-Bulk: a relaxed structure of VP2AuCl (PBE).

Calculated values
Its calculated density is 5.10 g/cm³. As for the spin magnetization: 0.5 μB/f.u.

a b c (Å): 4.8034 4.8034 4.8690
angles (deg): 90.00 90.00 90.00
With the nearest neighbours (Å) after each atom.
Fractional coordinates of all 5 atoms:
V 0.0000 0.0000 0.0000  4 Cl 3.40, 8 P 3.42
P 0.0000 0.5000 0.5000  2 Au 2.40
P 0.5000 0.0000 0.5000  2 Au 2.40
Au 0.5000 0.5000 0.5000  4 P 2.40, 2 Cl 2.43
Cl 0.5000 0.5000 0.0000  2 Au 2.43

Version two
Entry from Alexandria via LeMat-Bulk: a relaxed structure of VP2AuCl (PBE).

Calculated values
Its calculated density is 5.91 g/cm³. As for the spin magnetization: 0.0 μB/f.u.

a b c (Å): 4.6507 4.6507 4.4844
angles (deg): 90.00 90.00 90.00
With the nearest neighbours (Å) after each atom.
Fractional coordinates of all 5 atoms:
V 0.0000 0.0000 0.0000  2 Cl 2.24, 4 P 2.33
P 0.0000 0.5000 0.0000  2 V 2.33
P 0.5000 0.0000 0.0000  2 V 2.33
Au 0.5000 0.5000 0.5000  8 P 3.23, 4 Cl 3.29
Cl 0.0000 0.0000 0.5000  2 V 2.24

The least stable of them is version one.

Version one
Entry from Alexandria via LeMat-Bulk: a relaxed structure of YP2AuCl (PBE).

Calculated values
Its calculated density is 5.53 g/cm³. As for the spin magnetization: 0.0 μB/f.u.

a b c (Å): 4.8437 4.8437 4.9055
angles (deg): 90.00 90.00 90.00
With the nearest neighbours (Å) after each atom.
Fractional coordinates of all 5 atoms:
Y 0.0000 0.0000 0.0000  4 Cl 3.43, 8 P 3.45
P 0.0000 0.5000 0.5000  2 Au 2.42
P 0.5000 0.0000 0.5000  2 Au 2.42
Au 0.5000 0.5000 0.5000  4 P 2.42, 2 Cl 2.45
Cl 0.5000 0.5000 0.0000  2 Au 2.45

Version two
Entry from Alexandria via LeMat-Bulk: a relaxed structure of YP2AuCl (PBE).

Calculated values
Its calculated density is 4.27 g/cm³. As for the spin magnetization: 1.3 μB/f.u.

a b c (Å): 5.4176 5.4176 5.0835
angles (deg): 90.00 90.00 90.00
With the nearest neighbours (Å) after each atom.
Fractional coordinates of all 5 atoms:
Y 0.0000 0.0000 0.0000  2 Cl 2.54, 4 P 2.71
P 0.0000 0.5000 0.0000  2 Y 2.71
P 0.5000 0.0000 0.0000  2 Y 2.71
Au 0.5000 0.5000 0.5000  8 P 3.71, 4 Cl 3.83
Cl 0.0000 0.0000 0.5000  2 Y 2.54

The least stable of them is version two.

Version one
Entry from Alexandria via LeMat-Bulk: a relaxed structure of YPAuCl2 (PBE).

Calculated values
Its calculated density is 4.34 g/cm³. As for the spin magnetization: 1.0 μB/f.u.

a b c (Å): 5.0494 5.0494 5.8203
angles (deg): 90.00 90.00 90.00
With the nearest neighbours (Å) after each atom.
Fractional coordinates of all 5 atoms:
Y 0.0000 0.0000 0.0000  4 Cl 2.52
P 0.0000 0.0000 0.5000  2 Y 2.91
Au 0.5000 0.5000 0.5000  4 P 3.57, 8 Cl 3.85
Cl 0.0000 0.5000 0.0000  2 Y 2.52
Cl 0.5000 0.0000 0.0000  2 Y 2.52

Version two
Entry from Alexandria via LeMat-Bulk: a relaxed structure of YPAuCl2 (PBE).

Calculated values
Its calculated density is 4.03 g/cm³. As for the spin magnetization: 3.0 μB/f.u.

a b c (Å): 5.2393 5.2393 5.8254
angles (deg): 90.00 90.00 90.00
With the nearest neighbours (Å) after each atom.
Fractional coordinates of all 5 atoms:
Y 0.0000 0.0000 0.0000  4 Cl 2.62, 2 Au 2.91
P 0.5000 0.5000 0.5000  4 Au 3.70, 8 Cl 3.92
Au 0.0000 0.0000 0.5000  2 Y 2.91
Cl 0.0000 0.5000 0.0000  2 Y 2.62
Cl 0.5000 0.0000 0.0000  2 Y 2.62

The least stable of them is version two.